Entry A
{
  "formula": "ZnRuI2",
  "functional": "PBE",
  "state": "relaxed",
  "m_tot_mub_per_cell": 2.5,
  "dos_ef_per_ev_atom": 0.6529,
  "cell": [[0.0000, 3.6215, 3.6215], [3.6215, 0.0000, 3.6215], [3.6215, 3.6215, 0.0000]],
  "species": ["Zn", "Ru", "I", "I"],
  "frac_coords": [[0.0000, 0.0000, 0.0000], [0.5000, 0.5000, 0.5000], [0.2500, 0.2500, 0.2500], [0.7500, 0.7500, 0.7500]]
}

***

Entry B
{
  "formula": "ZnRuI2",
  "functional": "PBE",
  "state": "relaxed",
  "m_tot_mub_per_cell": 0.0,
  "dos_ef_per_ev_atom": 0.2363,
  "cell": [[-3.2488, 3.2488, 5.9790], [3.2488, -3.2488, 5.9790], [3.2488, 3.2488, -5.9790]],
  "species": ["Zn", "Zn", "Ru", "Ru", "I", "I", "I", "I"],
  "frac_coords": [[0.0000, 0.0000, 0.0000], [0.7500, 0.2500, 0.5000], [0.2500, 0.7500, 0.5000], [0.5000, 0.5000, 0.0000], [0.1682, 0.6250, 0.0432], [0.3750, 0.4182, 0.5432], [0.5818, 0.1250, 0.9568], [0.8750, 0.8318, 0.4568]]
}

***

It is entry B that is the most stable of them.